(1)
Material: YBeTe2
Method: DFT, PBE
State: optimized geometry

Properties
size of the total moment: 0.00 μB/f.u.
calculated volume: 101.9 Å³/cell
total energy: -3.9965 eV/atom
energy relative to the elements, uncorrected: 0.1219 eV/atom

Geometry as POSCAR:
```
YBeTe2
1.0
5.243 0.000 0.000
2.622 4.541 0.000
2.622 1.514 4.281
Te Y Be
2 1 1
direct
0.000 0.000 0.000
0.250 0.250 0.250
0.750 0.750 0.750
0.500 0.500 0.500
```

---

(2)
Material: YBeTe2
Method: DFT, PBE
State: optimized geometry

Properties
size of the total moment: 0.00 μB/f.u.
calculated volume: 95.1 Å³/cell
total energy: -4.5708 eV/atom
energy relative to the elements, uncorrected: -0.4524 eV/atom

Geometry as POSCAR:
```
YBeTe2
1.0
-5.348 1.549 0.371
-2.398 -3.858 3.241
4.011 3.873 0.227
Te Be Y
2 1 1
direct
0.059 0.059 0.000
0.441 0.441 0.000
0.250 0.750 0.500
0.750 0.250 0.500
```

---

(3)
Material: YBe2Te
Method: DFT, PBE
State: optimized geometry

Properties
size of the total moment: 0.00 μB/f.u.
calculated volume: 75.6 Å³/cell
total energy: -3.8436 eV/atom
energy relative to the elements, uncorrected: 0.4209 eV/atom

Geometry as POSCAR:
```
YBe2Te
1.0
-2.360 0.019 4.118
-3.705 -2.900 0.625
0.353 -3.698 2.954
Be Te Y
2 1 1
direct
0.250 0.250 0.250
0.750 0.750 0.750
0.500 0.500 0.500
0.000 0.000 0.000
```

---

Q: Which of these has the highest calculated volume?
A: number 1

---

Q: size of the total moment of number 3 (YBe2Te)?
A: 0.00 μB/f.u.